(1)
An optimized crystal structure of Li2CrGe2, computed with PBE.

Values from the calculation:
Energy of formation from the pure elements, kJ per mole of atoms: 11.0
M_tot, μB/f.u.: 0.0
Total energy, eV per atom: -4.423

Cell: 6.915 6.915 2.925 Å, 90.00 90.00 90.00°
Space group P4/mbm (No. 127)
Asymmetric unit:
Li: 0.135 0.365 0.000 (multiplicity 4)
Cr: 0.000 0.000 0.500 (multiplicity 2)
Ge: 0.167 0.667 0.500 (multiplicity 4)

(2)
An optimized crystal structure of La6Mg2FeH, computed with PBE.

Values from the calculation:
M_tot, μB/f.u.: 0.0
Total energy, eV per atom: -4.531

Cell: 7.392 7.396 7.544 Å, 60.97 60.89 89.75°
Space group P-1 (No. 2)
Asymmetric unit:
La: 0.208 0.283 0.003 (multiplicity 2)
La: 0.248 0.261 0.488 (multiplicity 2)
La: 0.290 0.797 0.990 (multiplicity 2)
Mg: 0.255 0.752 0.499 (multiplicity 2)
Fe: 0.000 0.000 0.000 (multiplicity 1)
H: 0.500 0.500 0.000 (multiplicity 1)

(3)
An optimized crystal structure of Na2AgAsS4, computed with PBE.

Values from the calculation:
M_tot, μB/f.u.: 0.0
Total energy, eV per atom: -3.848
Formation energy from raw total energies, eV/atom: -0.52

Cell: 6.306 6.306 10.361 Å, 90.00 90.00 90.00°
Space group I-4 (No. 82)
Asymmetric unit:
Na: 0.000 0.000 0.000 (multiplicity 2)
Na: 0.000 0.500 0.250 (multiplicity 2)
Ag: 0.000 0.000 0.500 (multiplicity 2)
As: 0.000 0.500 0.750 (multiplicity 2)
S: 0.192 0.283 0.631 (multiplicity 8)

(4)
An optimized crystal structure of Ti4Ga2Cu, computed with PBE.

Values from the calculation:
Energy of formation from the pure elements, kJ per mole of atoms: -14.1
M_tot, μB/f.u.: 0.0
Total energy, eV per atom: -6.108

Cell: 6.250 5.258 7.462 Å, 90.00 110.85 90.00°
Space group P2_1/m (No. 11)
Asymmetric unit:
Ti: 0.060 0.250 0.022 (multiplicity 2)
Ti: 0.153 0.002 0.701 (multiplicity 4)
Ti: 0.297 0.750 0.370 (multiplicity 2)
Ga: 0.243 0.250 0.423 (multiplicity 2)
Ga: 0.412 0.750 0.057 (multiplicity 2)
Cu: 0.480 0.250 0.237 (multiplicity 2)

(5)
An optimized crystal structure of ZrTaB4, computed with PBE.

Values from the calculation:
Energy of formation from the pure elements, kJ per mole of atoms: -80.8
M_tot, μB/f.u.: 0.0
Total energy, eV per atom: -8.689

Cell: 3.1368 3.1368 6.8729 Å, 90.00 90.00 120.00°
Space group P6/mmm (No. 191)
Asymmetric unit:
Zr: 0.0000 0.0000 0.0000 (multiplicity 1)
Ta: 0.0000 0.0000 0.5000 (multiplicity 1)
B: 0.3333 0.6667 0.2598 (multiplicity 4)

(6)
An optimized crystal structure of FeCoAg2, computed with PBE.

Values from the calculation:
Energy of formation from the pure elements, kJ per mole of atoms: 26.6
M_tot, μB/f.u.: 4.7
Total energy, eV per atom: -5.043

Cell: 2.8370 2.8370 25.9661 Å, 90.00 90.00 120.00°
Space group R3m (No. 160, hexagonal axes)
Asymmetric unit:
Fe: 0.0000 0.0000 0.0000 (multiplicity 3)
Co: 0.0000 0.0000 0.7312 (multiplicity 3)
Ag: 0.0000 0.0000 0.2461 (multiplicity 3)
Ag: 0.0000 0.0000 0.4843 (multiplicity 3)

(7)
An optimized crystal structure of Nd2GaAgS5, computed with PBE.

Values from the calculation:
M_tot, μB/f.u.: 0.0
Total energy, eV per atom: -5.314
Formation energy from raw total energies, eV/atom: -1.31

Cell: 3.890 17.719 11.335 Å, 90.00 90.00 90.00°
Space group Cmc2_1 (No. 36)
Asymmetric unit:
Nd: 0.000 0.119 0.000 (multiplicity 4)
Nd: 0.000 0.126 0.616 (multiplicity 4)
Ga: 0.000 0.433 0.772 (multiplicity 4)
Ag: 0.000 0.228 0.342 (multiplicity 4)
S: 0.000 0.040 0.380 (multiplicity 4)
S: 0.000 0.290 0.998 (multiplicity 4)
S: 0.000 0.321 0.673 (multiplicity 4)
S: 0.000 0.369 0.313 (multiplicity 4)
S: 0.000 0.498 0.594 (multiplicity 4)

(8)
An optimized crystal structure of Fe5CoPd6, computed with PBE.

Values from the calculation:
Energy of formation from the pure elements, kJ per mole of atoms: -4.2
M_tot, μB/f.u.: 18.8
Total energy, eV per atom: -6.758

Cell: 3.829 7.536 11.465 Å, 90.00 90.00 90.00°
Space group Immm (No. 71)
Asymmetric unit:
Fe: 0.000 0.000 0.000 (multiplicity 2)
Fe: 0.000 0.000 0.336 (multiplicity 4)
Fe: 0.000 0.500 0.335 (multiplicity 4)
Co: 0.000 0.500 0.000 (multiplicity 2)
Pd: 0.000 0.249 0.500 (multiplicity 4)
Pd: 0.000 0.250 0.166 (multiplicity 8)

(9)
An optimized crystal structure of NaCe2PaAs4, computed with PBE.

Values from the calculation:
Energy of formation from the pure elements, kJ per mole of atoms: -100.8
M_tot, μB/f.u.: 1.6
Total energy, eV per atom: -6.205

Cell: 7.237 4.214 7.242 Å, 90.00 109.22 90.00°
Space group P2/m (No. 10)
Asymmetric unit:
Na: 0.000 0.000 0.000 (multiplicity 1)
Ce: 0.000 0.500 0.500 (multiplicity 1)
Ce: 0.500 0.000 0.500 (multiplicity 1)
Pa: 0.500 0.500 0.000 (multiplicity 1)
As: 0.261 0.000 0.758 (multiplicity 2)
As: 0.269 0.500 0.252 (multiplicity 2)

(10)
An optimized crystal structure of InIrF2, computed with PBE.

Values from the calculation:
Excess energy over the best structure of this formula in the dataset, meV/atom: 666
M_tot, μB/f.u.: 1.6
Total energy, eV per atom: -4.072
Formation energy from raw total energies, eV/atom: -0.24

Cell: 6.147 6.147 6.147 Å, 90.00 90.00 90.00°
Space group Fm-3m (No. 225)
Asymmetric unit:
In: 0.000 0.000 0.000 (multiplicity 4)
Ir: 0.000 0.000 0.500 (multiplicity 4)
F: 0.250 0.250 0.250 (multiplicity 8)

(11)
An optimized crystal structure of Ce5Ga2Os2, computed with PBE.

Values from the calculation:
Energy of formation from the pure elements, kJ per mole of atoms: -18.9
M_tot, μB/f.u.: 2.1
Total energy, eV per atom: -6.660

Cell: 16.100 7.428 7.467 Å, 90.00 90.00 90.00°
Space group Ima2 (No. 46)
Asymmetric unit:
Ce: 0.058 0.171 0.000 (multiplicity 8)
Ce: 0.161 0.649 0.185 (multiplicity 8)
Ce: 0.250 0.152 0.286 (multiplicity 4)
Ga: 0.075 0.548 0.843 (multiplicity 8)
Os: 0.000 0.000 0.670 (multiplicity 4)
Os: 0.250 0.014 0.976 (multiplicity 4)

(12)
An optimized crystal structure of CaBeCuAu2, computed with PBE.

Values from the calculation:
Energy of formation from the pure elements, kJ per mole of atoms: -28.1
M_tot, μB/f.u.: 0.0
Total energy, eV per atom: -3.567

Cell: 4.575 4.575 4.351 Å, 90.00 90.00 90.00°
Space group P4/mmm (No. 123)
Asymmetric unit:
Ca: 0.000 0.000 0.000 (multiplicity 1)
Be: 0.500 0.500 0.500 (multiplicity 1)
Cu: 0.500 0.500 0.000 (multiplicity 1)
Au: 0.000 0.500 0.500 (multiplicity 2)

(13)
An optimized crystal structure of TlNi2Cl, computed with PBE.

Values from the calculation:
Excess energy over the best structure of this formula in the dataset, meV/atom: 71
M_tot, μB/f.u.: 0.0
Total energy, eV per atom: -3.798
Formation energy from raw total energies, eV/atom: 0.15

Cell: 3.550 3.560 6.491 Å, 90.00 91.13 90.00°
Space group Pm (No. 6)
Asymmetric unit:
Tl: 0.000 0.000 0.000 (multiplicity 1)
Ni: 0.489 0.000 0.683 (multiplicity 1)
Ni: 0.990 0.500 0.684 (multiplicity 1)
Cl: 0.484 0.500 0.457 (multiplicity 1)

(14)
An optimized crystal structure of LaIn2Ru, computed with PBE.

Values from the calculation:
Energy of formation from the pure elements, kJ per mole of atoms: 6.9
M_tot, μB/f.u.: 0.1
Total energy, eV per atom: -4.848

Cell: 3.3865 3.3865 28.8241 Å, 90.00 90.00 120.00°
Space group R-3m (No. 166, hexagonal axes)
Asymmetric unit:
La: 0.0000 0.0000 0.0000 (multiplicity 3)
In: 0.0000 0.0000 0.2340 (multiplicity 6)
Ru: 0.0000 0.0000 0.5000 (multiplicity 3)

(15)
An optimized crystal structure of Cs3TmCl6, computed with PBE.

Values from the calculation:
M_tot, μB/f.u.: 0.0
Total energy, eV per atom: -3.946
Formation energy from raw total energies, eV/atom: -2.13

Cell: 11.782 11.782 11.782 Å, 90.00 90.00 90.00°
Space group Fm-3m (No. 225)
Asymmetric unit:
Cs: 0.000 0.000 0.000 (multiplicity 4)
Cs: 0.250 0.250 0.250 (multiplicity 8)
Tm: 0.000 0.000 0.500 (multiplicity 4)
Cl: 0.000 0.000 0.279 (multiplicity 24)

(16)
An optimized crystal structure of LiCoSi2, computed with PBE.

Values from the calculation:
Excess energy over the best structure of this formula in the dataset, meV/atom: 79
M_tot, μB/f.u.: 0.0
Total energy, eV per atom: -5.177
Formation energy from raw total energies, eV/atom: -0.21

Cell: 2.553 3.480 5.313 Å, 90.00 90.00 90.00°
Space group Pmmm (No. 47)
Asymmetric unit:
Li: 0.000 0.000 0.000 (multiplicity 1)
Co: 0.000 0.000 0.500 (multiplicity 1)
Si: 0.500 0.500 0.268 (multiplicity 2)

(17)
An optimized crystal structure of SrCaAgBi, computed with PBE.

Values from the calculation:
Energy of formation from the pure elements, kJ per mole of atoms: -59.4
M_tot, μB/f.u.: 0.0
Total energy, eV per atom: -3.219

Cell: 7.891 7.891 7.891 Å, 90.00 90.00 90.00°
Space group F-43m (No. 216)
Asymmetric unit:
Sr: 0.000 0.000 0.000 (multiplicity 4)
Ca: 0.000 0.000 0.500 (multiplicity 4)
Ag: 0.250 0.250 0.750 (multiplicity 4)
Bi: 0.250 0.250 0.250 (multiplicity 4)

(18)
An optimized crystal structure of TlGe2Pd9, computed with PBE.

Values from the calculation:
Energy of formation from the pure elements, kJ per mole of atoms: -30.3
M_tot, μB/f.u.: 0.0
Total energy, eV per atom: -5.176

Cell: 3.989 3.989 11.938 Å, 90.00 90.00 90.00°
Space group P4/mmm (No. 123)
Asymmetric unit:
Tl: 0.000 0.000 0.000 (multiplicity 1)
Ge: 0.000 0.000 0.334 (multiplicity 2)
Pd: 0.000 0.500 0.180 (multiplicity 4)
Pd: 0.000 0.500 0.500 (multiplicity 2)
Pd: 0.500 0.500 0.000 (multiplicity 1)
Pd: 0.500 0.500 0.340 (multiplicity 2)

(19)
An optimized crystal structure of HgW2Au, computed with PBE.

Values from the calculation:
Energy of formation from the pure elements, kJ per mole of atoms: 82.3
M_tot, μB/f.u.: 0.0
Total energy, eV per atom: -6.518

Cell: 3.450 3.450 6.056 Å, 90.00 90.00 90.00°
Space group P4/mmm (No. 123)
Asymmetric unit:
Hg: 0.000 0.000 0.000 (multiplicity 1)
W: 0.500 0.500 0.289 (multiplicity 2)
Au: 0.000 0.000 0.500 (multiplicity 1)

(20)
An optimized crystal structure of CeHoHfSc, computed with PBE.

Values from the calculation:
Energy of formation from the pure elements, kJ per mole of atoms: 19.0
M_tot, μB/f.u.: 0.0
Total energy, eV per atom: -6.503

Cell: 7.494 7.494 7.494 Å, 90.00 90.00 90.00°
Space group F-43m (No. 216)
Asymmetric unit:
Ce: 0.000 0.000 0.000 (multiplicity 4)
Ho: 0.000 0.000 0.500 (multiplicity 4)
Hf: 0.250 0.250 0.250 (multiplicity 4)
Sc: 0.250 0.250 0.750 (multiplicity 4)

(21)
An optimized crystal structure of Mg2Cd2Pb, computed with PBE.

Values from the calculation:
Excess energy over the best structure of this formula in the dataset, meV/atom: 34
Energy of formation from the pure elements, kJ per mole of atoms: -0.3
M_tot, μB/f.u.: 0.0
Total energy, eV per atom: -1.749

Cell: 8.367 8.367 3.508 Å, 90.00 90.00 90.00°
Space group P4/mbm (No. 127)
Asymmetric unit:
Mg: 0.138 0.362 0.000 (multiplicity 4)
Cd: 0.158 0.658 0.500 (multiplicity 4)
Pb: 0.000 0.000 0.000 (multiplicity 2)

(22)
An optimized crystal structure of SrRu2Au, computed with PBE.

Values from the calculation:
Excess energy over the best structure of this formula in the dataset, meV/atom: 396
Energy of formation from the pure elements, kJ per mole of atoms: 47.0
M_tot, μB/f.u.: 0.0
Total energy, eV per atom: -5.391

Cell: 4.336 4.336 19.805 Å, 90.00 90.00 90.00°
Space group I-42d (No. 122)
Asymmetric unit:
Sr: 0.000 0.000 0.000 (multiplicity 4)
Ru: 0.114 0.250 0.625 (multiplicity 8)
Au: 0.000 0.000 0.500 (multiplicity 4)

(23)
An optimized crystal structure of Al2GeC, computed with PBE.

Values from the calculation:
Excess energy over the best structure of this formula in the dataset, meV/atom: 729
Energy of formation from the pure elements, kJ per mole of atoms: 96.9
M_tot, μB/f.u.: 1.7
Total energy, eV per atom: -4.327

Cell: 3.9051 3.9051 19.0054 Å, 90.00 90.00 120.00°
Space group R-3m (No. 166, hexagonal axes)
Asymmetric unit:
Al: 0.0000 0.0000 0.0998 (multiplicity 6)
Ge: 0.0000 0.0000 0.5000 (multiplicity 3)
C: 0.0000 0.0000 0.0000 (multiplicity 3)

(24)
An optimized crystal structure of BaPm2H7, computed with PBE.

Values from the calculation:
M_tot, μB/f.u.: 0.0
Total energy, eV per atom: -4.049

Cell: 3.975 3.975 17.141 Å, 90.00 90.00 90.00°
Space group I4/mmm (No. 139)
Asymmetric unit:
Ba: 0.000 0.000 0.000 (multiplicity 2)
Pm: 0.000 0.000 0.333 (multiplicity 4)
H: 0.000 0.000 0.500 (multiplicity 2)
H: 0.000 0.500 0.105 (multiplicity 8)
H: 0.000 0.500 0.250 (multiplicity 4)